1.
# CsRb2PdBr

A geometry-optimized CsRb2PdBr structure (PBE-GGA, Alexandria).

Lattice parameters (Å, degrees): 7.7020 7.7020 5.5787 90.00 90.00 90.00
Closest atoms and distances in Å follow each position.
Space group P4/mmm (No. 123)
One atom of each set of equivalent atoms:
Cs (0.0000, 0.0000, 0.0000) (multiplicity 1)  2 Pd 2.79
Rb (0.0000, 0.5000, 0.0000) (multiplicity 2)  2 Cs 3.85
Pd (0.0000, 0.0000, 0.5000) (multiplicity 1)  2 Cs 2.79
Br (0.5000, 0.5000, 0.5000) (multiplicity 1)  8 Rb 4.76

* energy relative to the lowest polymorph listed for this composition: 490 meV per atom
* N(E_F): 1.82 states/eV/f.u.
* DFT total energy: -1.955 eV/atom
* formation energy from raw total energies: -0.025 eV/atom

---

2.
# SrTeOs2

A geometry-optimized SrTeOs2 structure (PBE-GGA, Alexandria).

Lattice parameters (Å, degrees): 4.2646 4.7320 5.3438 90.00 90.00 90.00
Closest atoms and distances in Å follow each position.
Space group Pmmm (No. 47)
One atom of each set of equivalent atoms:
Sr (0.0000, 0.0000, 0.0000) (multiplicity 1)  8 Os 3.39, 4 Te 3.57
Te (0.0000, 0.5000, 0.5000) (multiplicity 1)  4 Os 2.61
Os (0.5000, 0.5000, 0.2181) (multiplicity 2)  1 Os 2.33, 2 Te 2.61

* energy relative to the lowest polymorph listed for this composition: 422 meV per atom
* N(E_F): 4.15 states/eV/f.u.
* DFT total energy: -6.294 eV/atom
* formation energy from raw total energies: 0.526 eV/atom

---

3.
# LaRuPt

A geometry-optimized LaRuPt structure (PBE-GGA, Alexandria).

Lattice parameters (Å, degrees): 2.9432 2.9432 7.6001 90.00 90.00 120.00
Closest atoms and distances in Å follow each position.
Space group P3m1 (No. 156)
One atom of each set of equivalent atoms:
La (0.0000, 0.0000, 0.0000) (multiplicity 1)  6 La 2.94, 3 Ru 3.19, 3 Pt 3.24
Ru (0.3333, 0.6667, 0.6443) (multiplicity 1)  3 Pt 2.73, 6 Ru 2.94
Pt (0.6667, 0.3333, 0.3624) (multiplicity 1)  3 Ru 2.73, 6 Pt 2.94

* N(E_F): 4.21 states/eV/f.u.
* DFT total energy: -6.379 eV/atom
* calculated formation energy: 0.369 eV/atom

---

4.
# Ta3Nb2Os

A geometry-optimized Ta3Nb2Os structure (PBE-GGA, Alexandria).

Lattice parameters (Å, degrees): 4.5902 13.7882 6.5789 90.00 90.00 90.00
Closest atoms and distances in Å follow each position.
Space group Cmmm (No. 65)
One atom of each set of equivalent atoms:
Ta (0.0000, 0.0000, 0.2442) (multiplicity 4)  6 Nb 2.80-2.86, 2 Os 2.81
Ta (0.0000, 0.3315, 0.2436) (multiplicity 8)  3 Os 2.77-2.80, 5 Nb 2.82-2.87
Nb (0.0000, 0.1673, 0.5000) (multiplicity 4)  8 Ta 2.82-2.86
Nb (0.0000, 0.5000, 0.0000) (multiplicity 2)  8 Ta 2.80-2.82
Nb (0.0000, 0.5000, 0.5000) (multiplicity 2)  8 Ta 2.85-2.87
Os (0.0000, 0.1676, 0.0000) (multiplicity 4)  8 Ta 2.77-2.81

* energy relative to the lowest polymorph listed for this composition: 0 meV per atom
* N(E_F): 3.66 states/eV/f.u.
* DFT total energy: -11.382 eV/atom
* calculated formation energy: -0.228 eV/atom

---

5.
# Pm2NdIn2Hg2

A geometry-optimized Pm2NdIn2Hg2 structure (PBE-GGA, Alexandria).

Lattice parameters (Å, degrees): 4.9791 4.9791 27.5661 90.00 90.00 120.00
Closest atoms and distances in Å follow each position.
Space group R-3m (No. 166, hexagonal axes)
One atom of each set of equivalent atoms:
Pm (0.0000, 0.0000, 0.1310) (multiplicity 6)  3 Hg 3.12, 3 In 3.40, 3 Pm 3.48
Nd (0.0000, 0.0000, 0.0000) (multiplicity 3)  6 In 3.39, 2 Pm 3.61, 6 Hg 3.75
In (0.0000, 0.0000, 0.2681) (multiplicity 6)  3 Hg 2.94
Hg (0.0000, 0.0000, 0.4205) (multiplicity 6)  3 In 2.94, 3 Pm 3.12

* N(E_F): 4.06 states/eV/f.u.
* DFT total energy: -3.220 eV/atom
* calculated formation energy: -0.313 eV/atom

---

6.
# Tm6AsPt2Se3

A geometry-optimized Tm6AsPt2Se3 structure (PBE-GGA, Alexandria).

Lattice parameters (Å, degrees): 18.4275 4.0253 8.1145 90.00 109.47 90.00
Closest atoms and distances in Å follow each position.
Space group C2/m (No. 12)
One atom of each set of equivalent atoms:
Tm (0.0144, 0.0000, 0.2528) (multiplicity 4)  2 As 2.82, 3 Se 2.92-3.00, 1 Pt 2.95
Tm (0.1615, 0.5000, 0.6075) (multiplicity 4)  3 Pt 2.77-2.86, 3 Se 2.81-2.94
Tm (0.1662, 0.5000, 0.1439) (multiplicity 4)  2 Pt 2.80, 1 As 2.89, 2 Se 2.97
As (0.0000, 0.5000, 0.0000) (multiplicity 2)  6 Tm 2.82-2.89
Pt (0.1839, 0.0000, 0.3946) (multiplicity 4)  6 Tm 2.77-2.95
Se (0.0000, 0.5000, 0.5000) (multiplicity 2)  6 Tm 2.81-2.92
Se (0.1582, 0.0000, 0.8686) (multiplicity 4)  6 Tm 2.94-3.27

* N(E_F): 5.41 states/eV/f.u.
* DFT total energy: -6.027 eV/atom
* formation energy from raw total energies: -1.526 eV/atom

---

7.
# LiMg2Br

A geometry-optimized LiMg2Br structure (PBE-GGA, Alexandria).

Lattice parameters (Å, degrees): 4.0696 4.0696 12.1164 90.00 90.00 90.00
Closest atoms and distances in Å follow each position.
Space group I4/mmm (No. 139)
One atom of each set of equivalent atoms:
Li (0.0000, 0.0000, 0.0000) (multiplicity 2)  4 Br 2.88
Mg (0.0000, 0.5000, 0.2500) (multiplicity 4)  4 Mg 2.88
Br (0.0000, 0.0000, 0.5000) (multiplicity 2)  4 Li 2.88

* energy relative to the lowest polymorph listed for this composition: 123 meV per atom
* N(E_F): 1.33 states/eV/f.u.
* DFT total energy: -2.032 eV/atom
* formation energy from raw total energies: -0.338 eV/atom

---

8.
# Ca2TlCrIn

A geometry-optimized Ca2TlCrIn structure (PBE-GGA, Alexandria).

Lattice parameters (Å, degrees): 5.9156 5.9156 5.4935 90.00 90.00 90.00
Closest atoms and distances in Å follow each position.
Space group P4/mmm (No. 123)
One atom of each set of equivalent atoms:
Ca (0.0000, 0.5000, 0.0000) (multiplicity 2)  2 Tl 2.96
Tl (0.0000, 0.0000, 0.0000) (multiplicity 1)  2 In 2.75, 4 Ca 2.96
Cr (0.5000, 0.5000, 0.5000) (multiplicity 1)  8 Ca 4.04, 4 In 4.18
In (0.0000, 0.0000, 0.5000) (multiplicity 1)  2 Tl 2.75

* N(E_F): 4.15 states/eV/f.u.
* DFT total energy: -2.661 eV/atom
* calculated formation energy: 1.085 eV/atom

---

9.
# LaSm2Dy4

A geometry-optimized LaSm2Dy4 structure (PBE-GGA, Alexandria).

Lattice parameters (Å, degrees): 6.9171 10.4461 6.9929 90.00 106.65 90.00
Closest atoms and distances in Å follow each position.
Space group P2/m (No. 10)
One atom of each set of equivalent atoms:
La (0.0000, 0.0000, 0.0000) (multiplicity 1)  4 Dy 3.36, 2 La 3.46, 2 Sm 3.50
La (0.5000, 0.0000, 0.0000) (multiplicity 1)  2 La 3.46, 8 Dy 3.46-3.84
Sm (0.0000, 0.0000, 0.5000) (multiplicity 1)  8 Dy 3.46-3.84, 2 La 3.50
Sm (0.0000, 0.5000, 0.0000) (multiplicity 1)  8 Dy 3.42-3.78, 2 Sm 3.50
Sm (0.0000, 0.5000, 0.5000) (multiplicity 1)  4 Dy 3.30, 4 Sm 3.46-3.50
Sm (0.5000, 0.5000, 0.5000) (multiplicity 1)  8 Dy 3.39-3.78, 2 Sm 3.46
Dy (0.2675, 0.2227, 0.3121) (multiplicity 4)  1 La 3.36, 2 Sm 3.39-3.46, 5 Dy 3.52-3.63
Dy (0.2696, 0.2853, 0.8103) (multiplicity 4)  2 Sm 3.30-3.42, 1 La 3.46, 5 Dy 3.51-3.63

* energy relative to the lowest polymorph listed for this composition: 0 meV per atom
* N(E_F): 9.87 states/eV/f.u.
* DFT total energy: -4.474 eV/atom
* calculated formation energy: 0.209 eV/atom

---

10.
# Li4CeLu

A geometry-optimized Li4CeLu structure (PBE-GGA, Alexandria).

Lattice parameters (Å, degrees): 8.2330 8.2330 8.2330 90.00 90.00 90.00
Closest atoms and distances in Å follow each position.
Space group F-43m (No. 216)
One atom of each set of equivalent atoms:
Li (0.1240, 0.1240, 0.1240) (multiplicity 16)  6 Li 2.89-2.93
Ce (0.0000, 0.0000, 0.5000) (multiplicity 4)  12 Li 3.42, 4 Lu 3.57
Lu (0.2500, 0.2500, 0.7500) (multiplicity 4)  12 Li 3.41, 4 Ce 3.57

* N(E_F): 10.25 states/eV/f.u.
* DFT total energy: -2.832 eV/atom
* calculated formation energy: 0.186 eV/atom

---

11.
# AcGeAuN

A geometry-optimized AcGeAuN structure (PBE-GGA, Alexandria).

Lattice parameters (Å, degrees): 3.4864 3.6234 14.1484 90.00 90.00 90.00
Closest atoms and distances in Å follow each position.
Space group Amm2 (No. 38)
One atom of each set of equivalent atoms:
Ac (0.0000, 0.0000, 0.0000) (multiplicity 2)  4 N 2.68
Ge (0.5000, 0.0000, 0.3036) (multiplicity 2)  1 N 1.86
Au (0.5000, 0.0000, 0.6698) (multiplicity 2)  2 Ge 2.62
N (0.5000, 0.0000, 0.4350) (multiplicity 2)  1 Ge 1.86

* N(E_F): 1.43 states/eV/f.u.
* DFT total energy: -5.502 eV/atom
* formation energy from raw total energies: -0.420 eV/atom

---

12.
# CuTe4Mo

A geometry-optimized CuTe4Mo structure (PBE-GGA, Alexandria).

Lattice parameters (Å, degrees): 8.8305 8.8305 8.8305 90.00 90.00 90.00
Closest atoms and distances in Å follow each position.
Space group F-43m (No. 216)
One atom of each set of equivalent atoms:
Cu (0.0000, 0.0000, 0.0000) (multiplicity 4)  12 Te 3.66, 4 Mo 3.82
Te (0.1251, 0.1251, 0.3749) (multiplicity 16)  6 Te 3.12-3.13
Mo (0.2500, 0.2500, 0.7500) (multiplicity 4)  12 Te 3.66, 4 Cu 3.82

* energy relative to the lowest polymorph listed for this composition: 1077 meV per atom
* N(E_F): 5.22 states/eV/f.u.
* DFT total energy: -3.393 eV/atom
* formation energy from raw total energies: 1.189 eV/atom